{"formula": "RbMoCl2", "functional": "PBEsol", "state": "optimized geometry", "lattice": [[-4.6161, -0.5629, 2.2623], [-3.3889, -3.4355, -1.8590], [-1.0606, -4.2950, 2.6779]], "species": ["Rb", "Mo", "Cl", "Cl"], "frac_coords": [[0.0000, 0.0000, 0.0000], [0.5000, 0.5000, 0.5000], [0.7500, 0.7500, 0.7500], [0.2500, 0.2500, 0.2500]], "vol_a3_per_atom": 24.45, "final_energy_ev_per_atom": -4.22, "e_above_lowest_polymorph_kj_per_mol_atoms": 19.0, "raw_formation_energy_ev_per_atom": -0.0159}